Record 1
# Li2NdEr2Si2

Li2NdEr2Si2 after structural relaxation (PBE, Alexandria).

Output
* E_form (uncorrected): -2.78 eV per formula unit
* crystal system: trigonal

abc: 4.4822 4.4822 9.1612
angles: 75.84 75.84 60.00
With the nearest neighbours (Å) after each atom.
Element x y z (fractional)
Er1 0.8711 0.8711 0.3868  3 Si 2.94, 3 Li 2.96, 3 Er 3.26
Li1 0.4075 0.4075 0.7775  3 Si 2.59
Nd1 0.0000 0.0000 0.0000  6 Li 3.24, 6 Si 3.27, 2 Er 3.40
Si1 0.2575 0.2575 0.2276  3 Li 2.59
Er2 0.1289 0.1289 0.6132  3 Si 2.94, 3 Li 2.96, 3 Er 3.26
Li2 0.5925 0.5925 0.2225  3 Si 2.59
Si2 0.7425 0.7425 0.7724  3 Li 2.59

***

Record 2
# LiAlRu2

LiAlRu2 after structural relaxation (PBE, Alexandria).

Output
* calculated formation energy: 0.140 eV per atom
* crystal system: orthorhombic

abc: 2.6924 2.6924 8.9459
angles: 90.00 90.00 116.28
With the nearest neighbours (Å) after each atom.
Element x y z (fractional)
Ru1 0.5000 0.5000 0.2516  2 Al 2.57, 8 Ru 2.62-2.84
Ru2 0.0000 0.0000 0.0055  8 Ru 2.62-2.84, 2 Li 2.67
Li1 0.5000 0.5000 0.7525  2 Ru 2.67, 6 Li 2.69-2.84, 2 Al 2.74
Al1 0.0000 0.0000 0.4904  2 Ru 2.57, 6 Al 2.69-2.84, 2 Li 2.74

***

Record 3
# Ce2Ni21B6

Ce2Ni21B6 after structural relaxation (PBE, Alexandria).

Output
* calculated formation energy: -0.334 eV per atom
* crystal system: cubic

abc: 7.5683 7.5683 7.5683
angles: 60.00 60.00 60.00
With the nearest neighbours (Å) after each atom.
Element x y z (fractional)
B1 0.2681 0.7319 0.7319  8 Ni 2.10-2.13
Ni1 0.3374 0.0000 0.6626  2 B 2.10
Ni2 0.3870 0.3870 0.3870  3 B 2.13
Ni3 0.3374 0.0000 0.0000  2 B 2.10
Ni4 0.3870 0.8389 0.3870  3 B 2.13
Ni5 0.6626 0.0000 0.0000  2 B 2.10
Ni6 0.3870 0.3870 0.8389  3 B 2.13
Ni7 0.0000 0.0000 0.0000  12 Ni 2.55
Ni8 0.0000 0.3374 0.6626  2 B 2.10
B2 0.7319 0.2681 0.2681  8 Ni 2.10-2.13
Ce1 0.7500 0.7500 0.7500  4 Ni 2.54
Ni9 0.6130 0.6130 0.1611  3 B 2.13
Ni10 0.8389 0.3870 0.3870  3 B 2.13
Ni11 0.1611 0.6130 0.6130  3 B 2.13
Ce2 0.2500 0.2500 0.2500  4 Ni 2.54
Ni12 0.3374 0.6626 0.0000  2 B 2.10
Ni13 0.6626 0.3374 0.0000  2 B 2.10
Ni14 0.0000 0.0000 0.6626  2 B 2.10
Ni15 0.0000 0.3374 0.0000  2 B 2.10
B3 0.7319 0.7319 0.2681  8 Ni 2.10-2.13
Ni16 0.0000 0.6626 0.3374  2 B 2.10
Ni17 0.0000 0.0000 0.3374  2 B 2.10
Ni18 0.6626 0.0000 0.3374  2 B 2.10
B4 0.7319 0.2681 0.7319  8 Ni 2.10-2.13
Ni19 0.6130 0.6130 0.6130  3 B 2.13
B5 0.2681 0.2681 0.7319  8 Ni 2.10-2.13
B6 0.2681 0.7319 0.2681  8 Ni 2.10-2.13
Ni20 0.0000 0.6626 0.0000  2 B 2.10
Ni21 0.6130 0.1611 0.6130  3 B 2.13

***

Record 4
# NaGaI

NaGaI after structural relaxation (PBE, Alexandria).

Output
* E_form (uncorrected): -1.63 eV per formula unit
* crystal system: tetragonal

abc: 4.3053 4.3053 10.4010
angles: 90.00 90.00 90.00
With the nearest neighbours (Å) after each atom.
Element x y z (fractional)
Ga1 0.5000 0.0000 0.0005  4 Ga 3.04, 1 I 3.39
I1 0.0000 0.5000 0.6734  5 Na 3.06-3.32, 1 Ga 3.39
Na1 0.5000 0.0000 0.6462  5 I 3.06-3.32
Ga2 0.0000 0.5000 0.9995  4 Ga 3.04, 1 I 3.39
Na2 0.0000 0.5000 0.3538  5 I 3.06-3.32
I2 0.5000 0.0000 0.3266  5 Na 3.06-3.32, 1 Ga 3.39

***

Record 5
# ReMo3

ReMo3 after structural relaxation (PBE, Alexandria).

Output
* calculated formation energy: 0.297 eV per atom
* crystal system: orthorhombic

abc: 4.6384 5.2064 5.2713
angles: 90.00 90.00 90.00
With the nearest neighbours (Å) after each atom.
Element x y z (fractional)
Re1 0.0000 0.0000 0.3367  10 Mo 2.61-2.86
Mo1 0.5000 0.2594 0.1502  2 Mo 2.51-2.70
Mo2 0.0000 0.2406 0.8498  2 Mo 2.51-2.70
Mo3 0.0000 0.5000 0.3676  4 Re 2.61-2.79, 6 Mo 2.87-2.88
Mo4 0.5000 0.0000 0.6324  4 Re 2.61-2.79, 6 Mo 2.87-2.88
Re2 0.5000 0.5000 0.6633  10 Mo 2.61-2.86
Mo5 0.0000 0.7594 0.8498  2 Mo 2.51-2.70
Mo6 0.5000 0.7406 0.1502  2 Mo 2.51-2.70

***

Record 6
# LiGdYBe

LiGdYBe after structural relaxation (PBE, Alexandria).

Output
* calculated formation energy: 0.124 eV per atom
* crystal system: cubic

abc: 5.0159 5.0159 5.0159
angles: 60.00 60.00 60.00
With the nearest neighbours (Å) after each atom.
Element x y z (fractional)
Li1 0.0000 0.0000 0.0000  4 Gd 3.07, 4 Y 3.07
Gd1 0.7500 0.7500 0.7500  4 Be 3.07, 4 Li 3.07
Y1 0.2500 0.2500 0.2500  4 Li 3.07, 4 Be 3.07
Be1 0.5000 0.5000 0.5000  4 Gd 3.07, 4 Y 3.07

***

Record 7
# CuIrPt

CuIrPt after structural relaxation (PBE, Alexandria).

Output
* calculated formation energy: 0.042 eV per atom
* crystal system: trigonal
* polymorph energy (0 for the lowest one): 0.000 eV/atom

abc: 2.7420 2.7420 6.5575
angles: 90.00 90.00 120.00
With the nearest neighbours (Å) after each atom.
Element x y z (fractional)
Pt1 0.6667 0.3333 0.6738  3 Cu 2.67, 6 Pt 2.74, 3 Ir 2.79
Cu1 0.0000 0.0000 0.0022  3 Ir 2.64, 3 Pt 2.67, 6 Cu 2.74
Ir1 0.3333 0.6667 0.3240  3 Cu 2.64, 6 Ir 2.74, 3 Pt 2.79

***

Record 8
# Ac4Al3Tl

Ac4Al3Tl after structural relaxation (PBE, Alexandria).

Output
* calculated formation energy: -0.296 eV per atom
* crystal system: orthorhombic

abc: 4.8997 4.4946 12.1854
angles: 90.00 90.00 90.00
With the nearest neighbours (Å) after each atom.
Element x y z (fractional)
Ac1 0.0000 0.0000 0.1438  4 Tl 3.44, 3 Al 3.57-3.60
Al1 0.5000 0.0000 0.9268  2 Tl 2.86
Tl1 0.5000 0.5000 0.0723  2 Al 2.86
Ac2 0.5000 0.0000 0.6408  7 Al 3.46-3.49
Al2 0.0000 0.5000 0.5628  2 Al 2.72
Ac3 0.0000 0.5000 0.8513  5 Al 3.45-3.52, 2 Tl 3.64
Ac4 0.5000 0.5000 0.3652  6 Al 3.43-3.44, 1 Tl 3.57
Al3 0.0000 0.0000 0.4371  2 Al 2.72

***

Record 9
# Ca2CdFe

Ca2CdFe after structural relaxation (PBE, Alexandria).

Output
* calculated formation energy: 0.178 eV per atom
* crystal system: tetragonal

abc: 3.5472 3.5447 8.0254
angles: 90.00 90.00 90.00
With the nearest neighbours (Å) after each atom.
Element x y z (fractional)
Cd1 0.5000 0.5000 0.2500  8 Ca 3.32, 4 Cd 3.54-3.55
Fe1 0.5000 0.5000 0.7500  8 Ca 3.10
Ca1 0.0000 0.0000 0.5218  4 Fe 3.10, 4 Cd 3.32
Ca2 0.0000 0.0000 0.9782  4 Fe 3.10, 4 Cd 3.32

***

Record 10
# VCuHg3

VCuHg3 after structural relaxation (PBE, Alexandria).

Output
* calculated formation energy: 0.717 eV per atom
* crystal system: cubic
* polymorph energy (0 for the lowest one): 0.000 eV/atom

abc: 4.9668 4.9668 4.9668
angles: 90.00 90.00 90.00
With the nearest neighbours (Å) after each atom.
Element x y z (fractional)
V1 0.5000 0.5000 0.5000  12 Hg 3.51
Hg1 0.5000 0.0000 0.0000  2 Cu 2.48
Hg2 0.0000 0.5000 0.0000  2 Cu 2.48
Cu1 0.0000 0.0000 0.0000  6 Hg 2.48
Hg3 0.0000 0.0000 0.5000  2 Cu 2.48

***

Record 11
# Ba2IrW

Ba2IrW after structural relaxation (PBE, Alexandria).

Output
* calculated formation energy: 0.454 eV per atom
* crystal system: tetragonal
* polymorph energy (0 for the lowest one): 0.306 eV/atom

abc: 3.4659 3.4658 10.1339
angles: 90.00 90.00 90.02
With the nearest neighbours (Å) after each atom.
Element x y z (fractional)
Ba1 0.5000 0.5000 0.3292  1 W 3.41, 4 Ba 3.47, 4 Ir 3.51
Ba2 0.0000 0.0000 0.9272  4 Ba 3.47, 1 Ir 3.54, 4 W 3.61
Ir1 0.0000 0.0000 0.5775  4 W 2.61
W1 0.5000 0.5000 0.6661  4 Ir 2.61

***

Record 12
# TaNiPd2

TaNiPd2 after structural relaxation (PBE, Alexandria).

Output
* calculated formation energy: -0.404 eV per atom
* crystal system: tetragonal
* polymorph energy (0 for the lowest one): 0.001 eV/atom

abc: 4.8146 4.8146 3.8350
angles: 66.53 66.53 46.93
With the nearest neighbours (Å) after each atom.
Element x y z (fractional)
Pd1 0.9999 0.0000 0.0000  4 Pd 2.71, 4 Ni 2.76, 4 Ta 2.76
Ni1 0.2500 0.2500 0.2498  4 Ta 2.71, 8 Pd 2.76
Pd2 0.5001 0.5000 0.5000  4 Pd 2.71, 4 Ni 2.76, 4 Ta 2.76
Ta1 0.7500 0.7500 0.7501  4 Ni 2.71, 8 Pd 2.76